# BPS2Cl | the Alexandria database | PBE-GGA | relaxed
data_BPS2Cl
_chemical_formula_sum 'B1 P1 S2 Cl1'
_cell_length_a 4.302
_cell_length_b 4.302
_cell_length_c 4.057
_cell_angle_alpha 90.00
_cell_angle_beta 90.00
_cell_angle_gamma 90.00
_space_group_name_H-M_alt 'P 1'
_space_group_IT_number 1
_space_group_name_Hall 'P 1'
loop_
_atom_site_label
_atom_site_type_symbol
_atom_site_fract_x
_atom_site_fract_y
_atom_site_fract_z
B1 B 0.000 0.000 0.000
P1 P 0.500 0.500 0.500
S1 S 0.000 0.500 0.000
S2 S 0.500 0.000 0.000
Cl1 Cl 0.000 0.000 0.500
# **Relative energy among the computed polymorphs**: 0 meV per atom
# **Total magnetization**: 0.000 μB/atom
# **Space group**: P4/mmm



# PuZr4Sc3 | the Alexandria database | PBE-GGA | relaxed
data_PuZr4Sc3
_chemical_formula_sum 'Pu1 Zr4 Sc3'
_cell_length_a 5.566
_cell_length_b 6.425
_cell_length_c 5.568
_cell_angle_alpha 90.00
_cell_angle_beta 109.44
_cell_angle_gamma 90.00
_space_group_name_H-M_alt 'P 1'
_space_group_IT_number 1
_space_group_name_Hall 'P 1'
loop_
_atom_site_label
_atom_site_type_symbol
_atom_site_fract_x
_atom_site_fract_y
_atom_site_fract_z
Pu1 Pu 0.000 0.000 0.000
Zr1 Zr 0.000 0.249 0.500
Zr2 Zr 0.000 0.751 0.500
Zr3 Zr 0.500 0.000 0.500
Zr4 Zr 0.500 0.500 0.500
Sc1 Sc 0.000 0.500 0.000
Sc2 Sc 0.500 0.249 0.000
Sc3 Sc 0.500 0.751 0.000
# **ΔH_f (0 K)**: 0.03 eV/atom
# **Total magnetization**: 0.673 μB/atom
# **Space group**: P2/m



# BaIn8Ga2 | the Alexandria database | PBE-GGA | relaxed
data_BaIn8Ga2
_chemical_formula_sum 'Ba1 In8 Ga2'
_cell_length_a 6.414
_cell_length_b 6.414
_cell_length_c 9.360
_cell_angle_alpha 90.00
_cell_angle_beta 90.00
_cell_angle_gamma 90.00
_space_group_name_H-M_alt 'P 1'
_space_group_IT_number 1
_space_group_name_Hall 'P 1'
loop_
_atom_site_label
_atom_site_type_symbol
_atom_site_fract_x
_atom_site_fract_y
_atom_site_fract_z
Ba1 Ba 0.000 0.000 0.000
In1 In 0.253 0.253 0.306
In2 In 0.253 0.253 0.694
In3 In 0.253 0.747 0.306
In4 In 0.253 0.747 0.694
In5 In 0.747 0.253 0.306
In6 In 0.747 0.253 0.694
In7 In 0.747 0.747 0.306
In8 In 0.747 0.747 0.694
Ga1 Ga 0.000 0.500 0.500
Ga2 Ga 0.500 0.000 0.500
# **ΔH_f (0 K)**: 0.06 eV/atom
# **Total magnetization**: 0.000 μB/atom
# **Space group**: P4/mmm



# Ta2WSe6 | the Alexandria database | PBE-GGA | relaxed
data_Ta2WSe6
_chemical_formula_sum 'Ta2 W1 Se6'
_cell_length_a 8.812
_cell_length_b 8.812
_cell_length_c 7.937
_cell_angle_alpha 114.63
_cell_angle_beta 114.63
_cell_angle_gamma 22.51
_space_group_name_H-M_alt 'P 1'
_space_group_IT_number 1
_space_group_name_Hall 'P 1'
loop_
_atom_site_label
_atom_site_type_symbol
_atom_site_fract_x
_atom_site_fract_y
_atom_site_fract_z
Ta1 Ta 0.148 0.148 0.293
Ta2 Ta 0.852 0.852 0.707
W1 W 0.500 0.500 0.000
Se1 Se 0.005 0.005 0.757
Se2 Se 0.323 0.323 0.437
Se3 Se 0.336 0.336 0.930
Se4 Se 0.664 0.664 0.070
Se5 Se 0.677 0.677 0.563
Se6 Se 0.995 0.995 0.243
# **Relative energy among the computed polymorphs**: 0 meV per atom
# **Total magnetization**: 0.000 μB/atom
# **Space group**: C2/m



# ZrTe2Os | the Alexandria database | PBE-GGA | relaxed
data_ZrTe2Os
_chemical_formula_sum 'Zr1 Te2 Os1'
_cell_length_a 3.599
_cell_length_b 3.506
_cell_length_c 6.859
_cell_angle_alpha 90.00
_cell_angle_beta 99.10
_cell_angle_gamma 90.00
_space_group_name_H-M_alt 'P 1'
_space_group_IT_number 1
_space_group_name_Hall 'P 1'
loop_
_atom_site_label
_atom_site_type_symbol
_atom_site_fract_x
_atom_site_fract_y
_atom_site_fract_z
Zr1 Zr 0.000 0.000 0.000
Te1 Te 0.401 0.500 0.751
Te2 Te 0.599 0.500 0.249
Os1 Os 0.000 0.000 0.500
# **Relative energy among the computed polymorphs**: 510 meV per atom
# **Total magnetization**: 0.000 μB/atom
# **Space group**: P2/m



# CaZnSbH | the Alexandria database | PBE-GGA | relaxed
data_CaZnSbH
_chemical_formula_sum 'Ca2 Zn2 Sb2 H2'
_cell_length_a 7.680
_cell_length_b 4.433
_cell_length_c 6.068
_cell_angle_alpha 90.00
_cell_angle_beta 115.71
_cell_angle_gamma 90.00
_space_group_name_H-M_alt 'P 1'
_space_group_IT_number 1
_space_group_name_Hall 'P 1'
loop_
_atom_site_label
_atom_site_type_symbol
_atom_site_fract_x
_atom_site_fract_y
_atom_site_fract_z
Ca1 Ca 0.000 0.000 0.000
Ca2 Ca 0.500 0.500 0.000
Zn1 Zn 0.436 0.000 0.300
Zn2 Zn 0.936 0.500 0.300
Sb1 Sb 0.313 0.500 0.427
Sb2 Sb 0.813 0.000 0.427
H1 H 0.325 0.000 0.977
H2 H 0.825 0.500 0.977
# **Relative energy among the computed polymorphs**: 88 meV per atom
# **Total magnetization**: 0.000 μB/atom
# **Space group**: Cm



- The highest total magnetization belongs to which entry?
  PuZr4Sc3